Record 1
DFT (PBE) results for crystalline ErThBiTe at its relaxed geometry.

```
ErThBiTe
1.0
0.0000 3.8531 3.8531
3.8531 0.0000 3.8531
3.8531 3.8531 0.0000
Er Th Bi Te
1 1 1 1
direct
0.0000 0.0000 0.0000 Er
0.5000 0.5000 0.5000 Th
0.7500 0.7500 0.7500 Bi
0.2500 0.2500 0.2500 Te
```

Summary:
Polymorph energy (0 for the lowest one): 80.1 meV per atom
M_tot: 0.0 μB per cell
Density: 10.68 g cm⁻³

---

Record 2
DFT (PBE) results for crystalline ErTh2Bi2Te2 at its relaxed geometry.

```
ErTh2Bi2Te2
1.0
-2.9088 2.9088 7.8256
2.9088 -2.9088 7.8256
2.9088 2.9088 -7.8256
Er Th Bi Te
1 2 2 2
direct
0.0000 0.0000 0.0000 Er
0.3858 0.3858 0.0000 Th
0.6142 0.6142 0.0000 Th
0.0000 0.5000 0.5000 Bi
0.5000 0.0000 0.5000 Bi
0.1927 0.1927 0.0000 Te
0.8073 0.8073 0.0000 Te
```

Summary:
Final energy: -5.232 eV/atom
M_tot: 1.0 μB per cell
Density: 8.18 g cm⁻³

---

Record 3
DFT (PBE) results for crystalline ErThBiTe at its relaxed geometry.

```
ErThBiTe
1.0
4.4563 0.0000 0.0000
0.0000 4.4563 0.0000
0.0000 0.0000 6.3624
Er Th Bi Te
1 1 1 1
direct
0.0000 0.0000 0.0000 Er
0.5000 0.5000 0.5000 Th
0.5000 0.5000 0.0000 Bi
0.0000 0.0000 0.5000 Te
```

Summary:
Polymorph energy (0 for the lowest one): 0.0 meV per atom
M_tot: 0.0 μB per cell
Density: 9.67 g cm⁻³

---

Record 4
DFT (PBE) results for crystalline ErTl3Bi2Te6 at its relaxed geometry.

```
ErTl3Bi2Te6
1.0
3.9270 -6.8047 0.0000
3.9270 6.8047 0.0000
-2.6198 0.0000 8.0458
Er Tl Bi Te
1 3 2 6
direct
0.0000 0.0000 0.0000 Er
0.1682 0.8318 0.5000 Tl
0.5000 0.5000 0.5000 Tl
0.8318 0.1682 0.5000 Tl
0.3339 0.6661 0.0000 Bi
0.6661 0.3339 0.0000 Bi
0.0723 0.3984 0.2172 Te
0.2536 0.2536 0.7833 Te
0.3984 0.0723 0.2172 Te
0.6016 0.9277 0.7828 Te
0.7464 0.7464 0.2167 Te
0.9277 0.6016 0.7828 Te
```

Summary:
Final energy: -3.739 eV/atom
M_tot: 0.0 μB per cell
Density: 7.58 g cm⁻³

---

Record 5
DFT (PBE) results for crystalline Er3Tl3BiTe8 at its relaxed geometry.

```
Er3Tl3BiTe8
1.0
8.8626 0.0000 0.0000
4.4307 7.6796 0.0000
4.4270 -2.5532 8.0016
Er Tl Bi Te
3 3 1 8
direct
0.0000 0.0000 0.0000 Er
0.0000 0.5000 0.0000 Er
0.5000 0.0000 0.0000 Er
0.0000 0.0000 0.5000 Tl
0.0000 0.5000 0.5000 Tl
0.5000 0.5000 0.5000 Tl
0.5000 0.5000 0.0000 Bi
0.0110 0.7444 0.2173 Te
0.0232 0.2384 0.2152 Te
0.4726 0.2556 0.7828 Te
0.4726 0.7719 0.7828 Te
0.5274 0.2281 0.2172 Te
0.5274 0.7444 0.2172 Te
0.9768 0.7616 0.7848 Te
0.9890 0.2556 0.7827 Te
```

Summary:
Final energy: -4.158 eV/atom
M_tot: 0.0 μB per cell
Density: 7.15 g cm⁻³

---

Record 6
DFT (PBE) results for crystalline Er6TlBi2Te3 at its relaxed geometry.

```
Er6TlBi2Te3
1.0
9.5555 -2.1765 0.0000
9.5555 2.1765 0.0000
-1.9719 0.0000 8.6016
Er Tl Bi Te
6 1 2 3
direct
0.0007 0.0007 0.2614 Er
0.3324 0.3324 0.9185 Er
0.3395 0.3395 0.4186 Er
0.6605 0.6605 0.5814 Er
0.6676 0.6676 0.0815 Er
0.9993 0.9993 0.7386 Er
0.5000 0.5000 0.5000 Tl
0.1665 0.1665 0.8341 Bi
0.8335 0.8335 0.1659 Bi
0.1702 0.1702 0.3334 Te
0.5000 0.5000 0.0000 Te
0.8298 0.8298 0.6666 Te
```

Summary:
Final energy: -4.859 eV/atom
M_tot: 0.0 μB per cell
Density: 9.32 g cm⁻³

---

Record 7
DFT (PBE) results for crystalline Er3Tl4BiTe8 at its relaxed geometry.

```
Er3Tl4BiTe8
1.0
4.4681 2.5796 8.1428
-4.4681 2.5796 8.1428
0.0000 -5.1593 8.1428
Er Tl Bi Te
3 4 1 8
direct
0.0000 0.5000 0.5000 Er
0.5000 0.0000 0.5000 Er
0.5000 0.5000 0.0000 Er
0.0000 0.0000 0.5000 Tl
0.0000 0.5000 0.0000 Tl
0.5000 0.0000 0.0000 Tl
0.5000 0.5000 0.5000 Tl
0.0000 0.0000 0.0000 Bi
0.2415 0.2415 0.7308 Te
0.2415 0.7308 0.2415 Te
0.2631 0.2631 0.2631 Te
0.2692 0.7585 0.7585 Te
0.7308 0.2415 0.2415 Te
0.7369 0.7369 0.7369 Te
0.7585 0.2692 0.7585 Te
0.7585 0.7585 0.2692 Te
```

Summary:
Final energy: -4.113 eV/atom
M_tot: 0.0 μB per cell
Density: 7.52 g cm⁻³

---

Record 8
DFT (PBE) results for crystalline ErTmBiTe at its relaxed geometry.

```
ErTmBiTe
1.0
4.3754 0.0000 0.0000
0.0000 4.3754 0.0000
0.0000 0.0000 6.1850
Er Tm Bi Te
1 1 1 1
direct
0.0000 0.0000 0.0000 Er
0.5000 0.5000 0.4974 Tm
0.5000 0.5000 0.9976 Bi
0.0000 0.0000 0.4996 Te
```

Summary:
Final energy: -5.030 eV/atom
M_tot: 0.0 μB per cell
Density: 9.44 g cm⁻³